No. 1
# Ca2PaH6

Ca2PaH6 after structural relaxation (GGA-PBE, Alexandria via LeMat-Bulk).

a b c (Å): 5.6508 5.6508 5.6508
angles (deg): 60.00 60.00 60.00
Atoms (fractional coordinates):
H (0.2686, 0.7314, 0.2686)
H (0.7314, 0.2686, 0.2686)
H (0.2686, 0.7314, 0.7314)
H (0.7314, 0.2686, 0.7314)
H (0.7314, 0.7314, 0.2686)
H (0.2686, 0.2686, 0.7314)
Ca (0.7500, 0.7500, 0.7500)
Ca (0.2500, 0.2500, 0.2500)
Pa (0.0000, 0.0000, 0.0000)

Its electronic total energy is -32.5 eV for the cell shown. Its total magnetic moment is 1.80 μB/f.u. The space group is Fm-3m (225).

No. 2
# Ca2PaH4

Ca2PaH4 after structural relaxation (GGA-PBE, Alexandria via LeMat-Bulk).

a b c (Å): 4.1891 4.1891 7.0957
angles (deg): 72.83 72.83 90.00
Atoms (fractional coordinates):
H (0.1727, 0.1727, 0.6545)
H (0.8273, 0.8273, 0.3455)
H (0.0000, 0.5000, 0.0000)
H (0.5000, 0.0000, 0.0000)
Ca (0.3471, 0.3471, 0.3059)
Ca (0.6529, 0.6529, 0.6941)
Pa (0.0000, 0.0000, 0.0000)

Its electronic total energy is -27.7 eV for the cell shown. Its total magnetic moment is 0.47 μB/f.u. The space group is I4/mmm (139).

No. 3
# Ca3Pa5H12

Ca3Pa5H12 after structural relaxation (GGA-PBE, Alexandria via LeMat-Bulk).

a b c (Å): 11.2555 11.2555 11.2555
angles (deg): 109.47 109.47 109.47
Atoms (fractional coordinates):
Ca (0.7500, 0.3750, 0.1250)
Ca (0.8750, 0.7500, 0.1250)
Ca (0.3750, 0.7500, 0.6250)
Ca (0.2500, 0.1250, 0.3750)
Ca (0.8750, 0.1250, 0.2500)
Ca (0.3750, 0.6250, 0.2500)
Ca (0.6250, 0.3750, 0.7500)
Ca (0.1250, 0.8750, 0.7500)
Ca (0.7500, 0.8750, 0.6250)
Ca (0.6250, 0.2500, 0.3750)
Ca (0.1250, 0.2500, 0.8750)
Ca (0.2500, 0.6250, 0.8750)
Pa (0.1250, 0.3750, 0.2500)
Pa (0.0000, 0.5000, 0.0000)
Pa (0.0000, 0.0000, 0.0000)
Pa (0.3750, 0.2500, 0.1250)
Pa (0.5000, 0.0000, 0.5000)
Pa (0.5000, 0.5000, 0.0000)
Pa (0.1250, 0.7500, 0.3750)
Pa (0.7500, 0.1250, 0.8750)
Pa (0.7500, 0.6250, 0.3750)
Pa (0.3750, 0.1250, 0.7500)
Pa (0.6250, 0.8750, 0.2500)
Pa (0.5000, 0.5000, 0.5000)
Pa (0.5000, 0.0000, 0.0000)
Pa (0.0000, 0.0000, 0.5000)
Pa (0.2500, 0.3750, 0.6250)
Pa (0.2500, 0.8750, 0.1250)
Pa (0.0000, 0.5000, 0.5000)
Pa (0.8750, 0.2500, 0.6250)
Pa (0.6250, 0.7500, 0.8750)
Pa (0.8750, 0.6250, 0.7500)
H (0.7234, 0.1529, 0.0671)
H (0.3437, 0.5671, 0.4142)
H (0.9329, 0.3471, 0.2766)
H (0.5671, 0.2234, 0.1529)
H (0.5705, 0.7234, 0.6563)
H (0.9329, 0.5858, 0.1563)
H (0.3437, 0.7766, 0.4295)
H (0.0858, 0.9295, 0.1529)
H (0.5858, 0.9329, 0.6563)
H (0.7234, 0.5705, 0.1563)
H (0.7766, 0.4329, 0.3471)
H (0.8437, 0.9142, 0.0671)
H (0.1529, 0.7234, 0.5671)
H (0.3471, 0.4142, 0.0705)
H (0.0705, 0.9142, 0.3471)
H (0.4295, 0.1529, 0.5858)
H (0.0705, 0.1563, 0.2234)
H (0.4329, 0.6563, 0.0858)
H (0.8437, 0.9295, 0.2766)
H (0.1529, 0.4295, 0.0858)
H (0.3471, 0.9329, 0.7766)
H (0.5858, 0.6529, 0.4295)
H (0.9142, 0.8437, 0.5671)
H (0.7766, 0.3437, 0.9295)
H (0.4142, 0.3471, 0.5705)
H (0.0858, 0.1563, 0.4329)
H (0.2234, 0.6563, 0.0705)
H (0.1563, 0.0705, 0.7234)
H (0.6529, 0.0671, 0.2234)
H (0.8471, 0.5705, 0.9142)
H (0.5671, 0.3437, 0.9142)
H (0.5705, 0.8471, 0.4142)
H (0.9295, 0.8437, 0.7766)
H (0.9295, 0.0858, 0.6529)
H (0.8471, 0.2766, 0.4329)
H (0.1563, 0.0858, 0.9329)
H (0.6529, 0.5858, 0.9295)
H (0.4142, 0.0671, 0.3437)
H (0.2766, 0.4295, 0.8437)
H (0.2234, 0.5671, 0.6529)
H (0.9142, 0.0705, 0.8471)
H (0.6563, 0.2234, 0.5705)
H (0.4329, 0.7766, 0.8471)
H (0.0671, 0.4142, 0.8437)
H (0.4295, 0.2766, 0.3437)
H (0.0671, 0.6529, 0.7234)
H (0.6563, 0.4329, 0.5858)
H (0.2766, 0.8471, 0.9329)

Its electronic total energy is -384.2 eV for the cell shown. Its total magnetic moment is 0.01 μB/f.u. The space group is Ia-3d (230).